(1)
Entry from Alexandria: crystalline Hf2TcH at its relaxed geometry (PBE).

```
Hf2TcH
1.0
3.132 0.000 0.000
0.000 3.132 0.000
0.000 0.000 6.440
Hf Tc H
2 1 1
Direct
0.000 0.000 0.245 Hf
0.000 0.000 0.755 Hf
0.500 0.500 0.500 Tc
0.500 0.500 0.000 H
```

Summary:
The value obtained for the theoretical density is 11.99 g cm⁻³. The relative energy among the computed polymorphs comes out at 0.217 eV per atom. The crystal system is tetragonal. As for the space-group type: P4/mmm, No. 123. For the total energy, the calculation gives -8.35 eV/atom.

***

(2)
Entry from Alexandria: crystalline Hf3TcH at its relaxed geometry (PBE).

```
Hf3TcH
1.0
5.013 0.000 0.000
0.000 5.013 0.000
0.000 0.000 5.013
Hf Tc H
3 1 1
Direct
0.000 0.000 0.500 Hf
0.000 0.500 0.000 Hf
0.500 0.000 0.000 Hf
0.000 0.000 0.000 Tc
0.500 0.500 0.500 H
```

Summary:
The value obtained for the theoretical density is 8.36 g cm⁻³. The relative energy among the computed polymorphs comes out at 1.132 eV per atom. The crystal system is cubic. As for the space-group type: Pm-3m, No. 221. For the total energy, the calculation gives -7.63 eV/atom.